[1]
A plane-wave DFT calculation with GGA-PBE was carried out for a geometry-optimized CsGaTc3 structure.

```
data_CsGaTc3
_chemical_formula_sum 'Cs1 Ga1 Tc3'
_cell_length_a 4.990
_cell_length_b 4.990
_cell_length_c 4.990
_cell_angle_alpha 90.00
_cell_angle_beta 90.00
_cell_angle_gamma 90.00
_space_group_name_H-M_alt 'P m -3 m'
_space_group_IT_number 221
_space_group_name_Hall '-P 4 2 3'
loop_
_atom_site_label
_atom_site_type_symbol
_atom_site_fract_x
_atom_site_fract_y
_atom_site_fract_z
_atom_site_occupancy
Cs1 Cs 0.000 0.000 0.000 1
Ga1 Ga 0.500 0.500 0.500 1
Tc1 Tc 0.000 0.000 0.500 1
```

Properties
The value obtained for the density of states at the Fermi level is 0.953 states/eV/atom. For the formation energy from the elements, the calculation gives 3.05 eV/atom. Its total energy is -0.1452 hartree per atom. For the calculated volume, the calculation gives 124.28 Å³/cell.

[2]
A plane-wave DFT calculation with GGA-PBE was carried out for a geometry-optimized CsGaTc3 structure.

```
data_CsGaTc3
_chemical_formula_sum 'Cs1 Ga1 Tc3'
_cell_length_a 4.870
_cell_length_b 4.870
_cell_length_c 4.870
_cell_angle_alpha 90.00
_cell_angle_beta 90.00
_cell_angle_gamma 90.00
_space_group_name_H-M_alt 'P m -3 m'
_space_group_IT_number 221
_space_group_name_Hall '-P 4 2 3'
loop_
_atom_site_label
_atom_site_type_symbol
_atom_site_fract_x
_atom_site_fract_y
_atom_site_fract_z
_atom_site_occupancy
Cs1 Cs 0.000 0.000 0.000 1
Ga1 Ga 0.500 0.500 0.500 1
Tc1 Tc 0.000 0.500 0.500 1
```

Properties
The value obtained for the density of states at the Fermi level is 1.286 states/eV/atom. For the formation energy from the elements, the calculation gives 1.83 eV/atom. Its total energy is -0.1898 hartree per atom. For the calculated volume, the calculation gives 115.48 Å³/cell.

[3]
A plane-wave DFT calculation with GGA-PBE was carried out for a geometry-optimized Cs2GaTc structure.

```
data_Cs2GaTc
_chemical_formula_sum 'Cs8 Ga4 Tc4'
_cell_length_a 12.394
_cell_length_b 12.394
_cell_length_c 4.897
_cell_angle_alpha 90.00
_cell_angle_beta 90.00
_cell_angle_gamma 90.00
_space_group_name_H-M_alt 'I -4 2 d'
_space_group_IT_number 122
_space_group_name_Hall 'I -4 2bw'
loop_
_atom_site_label
_atom_site_type_symbol
_atom_site_fract_x
_atom_site_fract_y
_atom_site_fract_z
_atom_site_occupancy
Cs1 Cs 0.004 0.250 0.125 1
Ga1 Ga 0.000 0.000 0.500 1
Tc1 Tc 0.000 0.000 0.000 1
```

Properties
The value obtained for the density of states at the Fermi level is 0.702 states/eV/atom. For the formation energy from the elements, the calculation gives 0.85 eV/atom. Its total energy is -0.1076 hartree per atom. For the calculated volume, the calculation gives 752.29 Å³/cell.

[4]
A plane-wave DFT calculation with GGA-PBE was carried out for a geometry-optimized Cs2GaTc structure.

```
data_Cs2GaTc
_chemical_formula_sum 'Cs8 Ga4 Tc4'
_cell_length_a 8.178
_cell_length_b 8.178
_cell_length_c 8.178
_cell_angle_alpha 90.00
_cell_angle_beta 90.00
_cell_angle_gamma 90.00
_space_group_name_H-M_alt 'F m -3 m'
_space_group_IT_number 225
_space_group_name_Hall '-F 4 2 3'
loop_
_atom_site_label
_atom_site_type_symbol
_atom_site_fract_x
_atom_site_fract_y
_atom_site_fract_z
_atom_site_occupancy
Cs1 Cs 0.250 0.250 0.250 1
Ga1 Ga 0.000 0.000 0.000 1
Tc1 Tc 0.000 0.000 0.500 1
```

Properties
The value obtained for the density of states at the Fermi level is 1.333 states/eV/atom. For the formation energy from the elements, the calculation gives 1.39 eV/atom. Its total energy is -0.0877 hartree per atom. For the calculated volume, the calculation gives 546.91 Å³/cell.

[5]
A plane-wave DFT calculation with GGA-PBE was carried out for a geometry-optimized CsTlGa2Tc structure.

```
data_CsTlGa2Tc
_chemical_formula_sum 'Cs1 Tl1 Ga2 Tc1'
_cell_length_a 5.039
_cell_length_b 5.039
_cell_length_c 5.428
_cell_angle_alpha 90.00
_cell_angle_beta 90.00
_cell_angle_gamma 90.00
_space_group_name_H-M_alt 'P 4/m m m'
_space_group_IT_number 123
_space_group_name_Hall '-P 4 2'
loop_
_atom_site_label
_atom_site_type_symbol
_atom_site_fract_x
_atom_site_fract_y
_atom_site_fract_z
_atom_site_occupancy
Cs1 Cs 0.000 0.000 0.000 1
Tl1 Tl 0.500 0.500 0.000 1
Ga1 Ga 0.000 0.500 0.500 1
Tc1 Tc 0.500 0.500 0.500 1
```

Properties
The value obtained for the density of states at the Fermi level is 0.810 states/eV/atom. For the formation energy from the elements, the calculation gives 0.01 eV/atom. Its total energy is -0.1440 hartree per atom. For the calculated volume, the calculation gives 137.83 Å³/cell.

[6]
A plane-wave DFT calculation with GGA-PBE was carried out for a geometry-optimized Cs2GaTe2 structure.

```
data_Cs2GaTe2
_chemical_formula_sum 'Cs8 Ga4 Te8'
_cell_length_a 17.028
_cell_length_b 7.564
_cell_length_c 12.140
_cell_angle_alpha 90.00
_cell_angle_beta 131.94
_cell_angle_gamma 90.00
_space_group_name_H-M_alt 'C 1 2/m 1'
_space_group_IT_number 12
loop_
_space_group_symop_operation_xyz
'x,y,z'
'-x,-y,-z'
'-x,y,-z'
'x,-y,z'
'x+1/2,y+1/2,z'
'-x+1/2,-y+1/2,-z'
'-x+1/2,y+1/2,-z'
'x+1/2,-y+1/2,z'
loop_
_atom_site_label
_atom_site_type_symbol
_atom_site_fract_x
_atom_site_fract_y
_atom_site_fract_z
_atom_site_occupancy
Cs1 Cs 0.103 0.000 0.327 1
Cs2 Cs 0.165 0.500 0.027 1
Ga1 Ga 0.123 0.500 0.662 1
Te1 Te 0.076 0.500 0.397 1
Te2 Te 0.172 0.000 0.090 1
```

Properties
The value obtained for the density of states at the Fermi level is 0.570 states/eV/atom. Its total energy is -0.1059 hartree per atom. For the calculated volume, the calculation gives 1163.20 Å³/cell.

[7]
A plane-wave DFT calculation with GGA-PBE was carried out for a geometry-optimized Cs3GaTe3 structure.

```
data_Cs3GaTe3
_chemical_formula_sum 'Cs12 Ga4 Te12'
_cell_length_a 11.399
_cell_length_b 19.681
_cell_length_c 7.723
_cell_angle_alpha 90.00
_cell_angle_beta 90.00
_cell_angle_gamma 90.00
_space_group_name_H-M_alt 'C m c m'
_space_group_IT_number 63
_space_group_name_Hall '-C 2c 2'
loop_
_atom_site_label
_atom_site_type_symbol
_atom_site_fract_x
_atom_site_fract_y
_atom_site_fract_z
_atom_site_occupancy
Cs1 Cs 0.000 0.187 0.250 1
Cs2 Cs 0.219 0.406 0.250 1
Ga1 Ga 0.000 0.333 0.750 1
Te1 Te 0.000 0.203 0.750 1
Te2 Te 0.194 0.398 0.750 1
```

Properties
Its total energy is -0.1087 hartree per atom. For the calculated volume, the calculation gives 1732.66 Å³/cell.

[8]
A plane-wave DFT calculation with GGA-PBE was carried out for a geometry-optimized CsGaTe2 structure.

```
data_CsGaTe2
_chemical_formula_sum 'Cs3 Ga3 Te6'
_cell_length_a 3.5616
_cell_length_b 3.5616
_cell_length_c 37.9859
_cell_angle_alpha 90.00
_cell_angle_beta 90.00
_cell_angle_gamma 120.00
_space_group_name_H-M_alt 'R -3 m'
_space_group_IT_number 166
_space_group_name_Hall '-R 3 2"'
loop_
_atom_site_label
_atom_site_type_symbol
_atom_site_fract_x
_atom_site_fract_y
_atom_site_fract_z
_atom_site_occupancy
Cs1 Cs 0.0000 0.0000 0.0000 1
Ga1 Ga 0.0000 0.0000 0.5000 1
Te1 Te 0.0000 0.0000 0.4158 1
```

Properties
The value obtained for the density of states at the Fermi level is 0.711 states/eV/atom. Its total energy is -0.0899 hartree per atom. For the calculated volume, the calculation gives 417.29 Å³/cell.

[9]
A plane-wave DFT calculation with GGA-PBE was carried out for a geometry-optimized CsGa4Te7 structure.

```
data_CsGa4Te7
_chemical_formula_sum 'Cs2 Ga8 Te14'
_cell_length_a 16.865
_cell_length_b 7.166
_cell_length_c 6.995
_cell_angle_alpha 90.00
_cell_angle_beta 90.00
_cell_angle_gamma 90.00
_space_group_name_H-M_alt 'P m n 21'
_space_group_IT_number 31
loop_
_space_group_symop_operation_xyz
'x,y,z'
'-x+1/2,-y,z+1/2'
'-x,y,z'
'x+1/2,-y,z+1/2'
loop_
_atom_site_label
_atom_site_type_symbol
_atom_site_fract_x
_atom_site_fract_y
_atom_site_fract_z
_atom_site_occupancy
Cs1 Cs 0.000 0.164 0.000 1
Ga1 Ga 0.121 0.667 0.642 1
Ga2 Ga 0.249 0.179 0.622 1
Te1 Te 0.000 0.853 0.493 1
Te2 Te 0.113 0.320 0.507 1
Te3 Te 0.116 0.669 0.019 1
Te4 Te 0.242 0.182 0.012 1
```

Properties
The value obtained for the density of states at the Fermi level is 0.776 states/eV/atom. Its total energy is -0.1226 hartree per atom. For the calculated volume, the calculation gives 845.39 Å³/cell.

[10]
A plane-wave DFT calculation with GGA-PBE was carried out for a geometry-optimized CsGaTe2 structure.

```
data_CsGaTe2
_chemical_formula_sum 'Cs4 Ga4 Te8'
_cell_length_a 8.360
_cell_length_b 8.360
_cell_length_c 9.498
_cell_angle_alpha 90.00
_cell_angle_beta 90.00
_cell_angle_gamma 90.00
_space_group_name_H-M_alt 'I -4 2 d'
_space_group_IT_number 122
_space_group_name_Hall 'I -4 2bw'
loop_
_atom_site_label
_atom_site_type_symbol
_atom_site_fract_x
_atom_site_fract_y
_atom_site_fract_z
_atom_site_occupancy
Cs1 Cs 0.000 0.000 0.000 1
Ga1 Ga 0.000 0.000 0.500 1
Te1 Te 0.141 0.750 0.625 1
```

Properties
The value obtained for the density of states at the Fermi level is 0.000 states/eV/atom. Its total energy is -0.1192 hartree per atom. For the calculated volume, the calculation gives 663.74 Å³/cell.

[11]
A plane-wave DFT calculation with GGA-PBE was carried out for a geometry-optimized CsGaTe2 structure.

```
data_CsGaTe2
_chemical_formula_sum 'Cs4 Ga4 Te8'
_cell_length_a 7.300
_cell_length_b 14.183
_cell_length_c 6.891
_cell_angle_alpha 90.00
_cell_angle_beta 90.00
_cell_angle_gamma 90.00
_space_group_name_H-M_alt 'C c c m'
_space_group_IT_number 66
_space_group_name_Hall '-C 2 2c'
loop_
_atom_site_label
_atom_site_type_symbol
_atom_site_fract_x
_atom_site_fract_y
_atom_site_fract_z
_atom_site_occupancy
Cs1 Cs 0.250 0.250 0.000 1
Ga1 Ga 0.000 0.000 0.250 1
Te1 Te 0.205 0.097 0.500 1
```

Properties
Its total energy is -0.1193 hartree per atom. For the calculated volume, the calculation gives 713.39 Å³/cell.

[12]
A plane-wave DFT calculation with GGA-PBE was carried out for a geometry-optimized Cs3Ga2Te4 structure.

```
data_Cs3Ga2Te4
_chemical_formula_sum 'Cs12 Ga8 Te16'
_cell_length_a 15.753
_cell_length_b 12.207
_cell_length_c 8.841
_cell_angle_alpha 90.00
_cell_angle_beta 99.70
_cell_angle_gamma 90.00
_space_group_name_H-M_alt 'C 1 2/c 1'
_space_group_IT_number 15
loop_
_space_group_symop_operation_xyz
'x,y,z'
'-x,-y,-z'
'-x,y,-z+1/2'
'x,-y,z+1/2'
'x+1/2,y+1/2,z'
'-x+1/2,-y+1/2,-z'
'-x+1/2,y+1/2,-z+1/2'
'x+1/2,-y+1/2,z+1/2'
loop_
_atom_site_label
_atom_site_type_symbol
_atom_site_fract_x
_atom_site_fract_y
_atom_site_fract_z
_atom_site_occupancy
Cs1 Cs 0.000 0.104 0.250 1
Cs2 Cs 0.136 0.371 0.592 1
Ga1 Ga 0.211 0.117 0.938 1
Te1 Te 0.124 0.302 0.007 1
Te2 Te 0.182 0.052 0.625 1
```

Properties
The value obtained for the density of states at the Fermi level is 0.453 states/eV/atom. Its total energy is -0.1142 hartree per atom. For the calculated volume, the calculation gives 1675.79 Å³/cell.